Entry 1:
# PaSeS

Crystalline PaSeS at its relaxed geometry (PBE-GGA, OQMD via LeMat-Bulk).

```
PaSeS
1.0
1.9310 -12.1127 0.0000
1.9310 12.1127 0.0000
0.0000 0.0000 6.6903
Se Pa S
2 2 2
direct
0.9274 0.0726 0.7571
0.0726 0.9274 0.7571
0.0000 0.0000 0.4184
0.5000 0.5000 0.9313
0.4332 0.5668 0.2590
0.5668 0.4332 0.2590
```

ΔE to the lowest computed polymorph   0 meV/atom
Crystal system   orthorhombic

=====

Entry 2:
# PaSeS

Crystalline PaSeS at its relaxed geometry (PBE-GGA, OQMD via LeMat-Bulk).

```
PaSeS
1.0
-2.2612 3.0216 0.8546
-8.0891 -7.6515 5.6506
10.0792 7.3325 0.7426
Pa S Se
2 2 2
direct
0.5000 0.5810 0.5810
0.0000 0.0691 0.0691
0.0000 0.8081 0.6746
0.0000 0.6746 0.8081
0.5000 0.1698 0.3153
0.5000 0.3153 0.1698
```

ΔE to the lowest computed polymorph   0 meV/atom
Crystal system   orthorhombic

=====

Entry 3:
# Pa4SeS6

Crystalline Pa4SeS6 at its relaxed geometry (PBE-GGA, OQMD via LeMat-Bulk).

```
Pa4SeS6
1.0
-2.8548 -6.3105 -4.6990
4.7343 -1.5922 6.7160
-3.1442 -0.1938 2.1705
S Pa Se
6 4 1
direct
0.5408 0.4592 0.0000
0.9184 0.4592 0.0000
0.6076 0.8038 0.5000
0.1962 0.8038 0.5000
0.5408 0.0816 0.0000
0.1962 0.3924 0.5000
0.3567 0.1784 0.5000
0.3333 0.6667 0.0000
0.8216 0.6433 0.5000
0.8216 0.1784 0.5000
0.0000 0.0000 0.0000
```

Electronic total energy   -7.62 eV per atom
Crystal system   hexagonal

=====

Entry 4:
# Pa2Se3S

Crystalline Pa2Se3S at its relaxed geometry (PBE-GGA, OQMD via LeMat-Bulk).

```
Pa2Se3S
1.0
-2.7408 -2.2146 -1.6402
3.6313 -1.3413 0.3482
-3.1203 -5.2532 12.3070
Se Pa S
3 2 1
direct
0.3333 0.6667 0.8795
0.0000 0.0000 0.3738
0.3333 0.6667 0.6227
0.6667 0.3333 0.7511
0.6667 0.3333 0.2432
0.0000 0.0000 0.1297
```

Electronic total energy   -6.87 eV per atom
Crystal system   trigonal

=====

Entry 5:
# Sr2Pa3S8

Crystalline Sr2Pa3S8 at its relaxed geometry (PBE-GGA, OQMD via LeMat-Bulk).

```
Sr2Pa3S8
1.0
7.2133 -4.1019 0.0000
7.2133 4.1019 0.0000
-2.3030 0.0000 6.4561
S Sr Pa
8 2 3
direct
0.8939 0.8939 0.0855
0.1061 0.1061 0.9145
0.1101 0.6606 0.5967
0.6103 0.6103 0.9424
0.8899 0.3394 0.4033
0.6606 0.1101 0.5967
0.3394 0.8899 0.4033
0.3897 0.3897 0.0576
0.7287 0.7287 0.6558
0.2713 0.2713 0.3442
0.0000 0.0000 0.5000
0.2551 0.7449 0.0000
0.7449 0.2551 0.0000
```

Electronic total energy   -6.75 eV per atom
Crystal system   monoclinic

=====

Entry 6:
# SrPaS3

Crystalline SrPaS3 at its relaxed geometry (PBE-GGA, OQMD via LeMat-Bulk).

```
SrPaS3
1.0
-3.8444 -1.4951 0.6161
1.9162 -5.9416 -2.4613
2.3267 -2.6249 8.1480
S Pa Sr
6 2 2
direct
0.5000 0.7640 0.3462
0.0000 0.2640 0.6538
0.0000 0.5000 0.0909
0.5000 0.0000 0.9091
0.5000 0.2360 0.3462
0.0000 0.7360 0.6538
0.5000 0.0000 0.6073
0.0000 0.5000 0.3927
0.5000 0.5000 0.8640
0.0000 0.0000 0.1360
```

Electronic total energy   -6.53 eV per atom
Crystal system   orthorhombic